PrFeGe3Rh: optimized geometry, PBE.

a b c (Å): 5.8875 7.2286 6.7252
angles (deg): 122.51 90.00 90.00
Atoms (fractional coordinates):
Ge 0.5000 0.7574 0.0000
Ge 0.0000 0.7574 0.0000
Ge 0.2500 0.2387 0.4775
Ge 0.5000 0.2426 0.0000
Ge 0.0000 0.2426 0.0000
Ge 0.7500 0.7613 0.5225
Rh 0.7500 0.5574 0.1148
Rh 0.2500 0.4426 0.8852
Fe 0.7500 0.9545 0.9090
Fe 0.2500 0.0455 0.0910
Pr 0.2500 0.7534 0.5069
Pr 0.7500 0.2466 0.4931

Results
- DFT formation energy: -0.34 eV/atom
- N(E_F): 0.436 states/eV per atom

***

Er3Ge2RuC: optimized geometry, PBE.

a b c (Å): 3.9641 4.6476 8.2426
angles (deg): 106.38 103.91 90.00
Atoms (fractional coordinates):
C 0.0000 0.0000 0.0000
Er 0.8361 0.8361 0.6722
Er 0.1639 0.1639 0.3278
Er 0.0000 0.5000 0.0000
Ge 0.3549 0.3549 0.7099
Ge 0.6451 0.6451 0.2901
Ru 0.5000 0.0000 0.0000

Results
- DFT formation energy: -0.55 eV/atom
- N(E_F): 0.858 states/eV per atom

***

MgCr2Cu: optimized geometry, PBE.

a b c (Å): 7.0952 7.0952 5.5699
angles (deg): 50.44 50.44 90.00
Atoms (fractional coordinates):
Cu 0.7500 0.2500 0.5000
Cu 0.0000 0.0000 0.0000
Cr 0.3750 0.3420 0.7500
Cr 0.0920 0.6250 0.2500
Cr 0.6580 0.1250 0.2500
Cr 0.8750 0.9080 0.7500
Mg 0.2500 0.7500 0.5000
Mg 0.5000 0.5000 0.0000

Results
- DFT formation energy: 0.91 eV/atom
- N(E_F): 1.001 states/eV per atom

***

PmZrUN3: optimized geometry, PBE.

a b c (Å): 3.4278 5.9183 8.8742
angles (deg): 102.95 90.00 90.00
Atoms (fractional coordinates):
N 0.7500 0.2387 0.5026
N 0.7500 0.5526 0.1556
N 0.2500 0.7613 0.4974
N 0.7500 0.0390 0.1463
N 0.2500 0.4474 0.8444
N 0.2500 0.9610 0.8537
Pm 0.2500 0.3523 0.3155
Pm 0.7500 0.6477 0.6845
U 0.7500 0.2359 0.9556
U 0.2500 0.7641 0.0444
Zr 0.2500 0.1337 0.6376
Zr 0.7500 0.8663 0.3624

Results
- N(E_F): 0.886 states/eV per atom
- E_form (uncorrected): -1.410 eV per atom

***

TbDyTl2: optimized geometry, PBE.

a b c (Å): 3.7577 3.7577 9.8752
angles (deg): 79.03 79.03 60.00
Atoms (fractional coordinates):
Tl 0.7497 0.7497 0.7508
Tl 0.2503 0.2503 0.2492
Tb 0.5000 0.5000 0.5000
Dy 0.0000 0.0000 0.0000

Results
- DFT formation energy: -0.26 eV/atom
- N(E_F): 0.498 states/eV per atom

***

Cd2SbS4: optimized geometry, PBE.

a b c (Å): 3.9141 6.7827 12.0245
angles (deg): 90.00 90.00 106.77
Atoms (fractional coordinates):
S 0.2256 0.4512 0.8714
S 0.7744 0.5488 0.1286
S 0.7744 0.5488 0.3714
S 0.2256 0.4512 0.6286
S 0.9630 0.9259 0.7500
S 0.5000 0.0000 0.0000
S 0.5000 0.0000 0.5000
S 0.0370 0.0741 0.2500
Sb 0.3984 0.7968 0.2500
Sb 0.6016 0.2032 0.7500
Cd 0.1336 0.2672 0.0618
Cd 0.8664 0.7328 0.9382
Cd 0.8664 0.7328 0.5618
Cd 0.1336 0.2672 0.4382

Results
- N(E_F): 0.553 states/eV per atom
- Polymorph energy (0 for the lowest one): 0 meV/atom
- E_form (uncorrected): -0.223 eV per atom